[1]
Below is a geometry-optimized Tb3Sm6Y2In structure, with properties calculated at the PBE-GGA level.

Lattice parameters (Å, degrees): 6.176 6.176 11.784 95.06 95.06 120.11
Positions (direct):
Sm 0.755 0.755 0.249
Sm 0.918 0.591 0.752
Sm 0.082 0.409 0.248
Sm 0.409 0.082 0.248
Sm 0.591 0.918 0.752
Sm 0.245 0.245 0.751
Tb 0.168 0.832 0.500
Tb 0.832 0.168 0.500
Tb 0.500 0.500 0.500
In 0.000 0.000 0.000
Y 0.666 0.334 0.000
Y 0.334 0.666 0.000

Properties
The value obtained for the density of states at the Fermi level is 14.6 states/eV per cell. The space group is No. 12.

[2]
Below is a geometry-optimized Tb2Sm5YIn structure, with properties calculated at the PBE-GGA level.

Lattice parameters (Å, degrees): 5.461 10.411 10.781 90.00 90.00 105.21
Positions (direct):
Sm 0.617 0.235 0.508
Sm 0.710 0.419 0.210
Sm 0.500 0.000 0.758
Sm 0.500 0.000 0.258
Sm 0.290 0.580 0.307
Sm 0.014 0.028 0.008
Sm 0.986 0.972 0.508
Sm 0.290 0.581 0.710
Sm 0.710 0.420 0.807
Sm 0.383 0.765 0.008
Tb 0.116 0.232 0.714
Tb 0.115 0.231 0.302
Tb 0.884 0.768 0.214
Tb 0.885 0.769 0.802
Y 0.203 0.407 0.008
Y 0.797 0.593 0.508
In 0.595 0.191 0.008
In 0.405 0.809 0.508

Properties
The value obtained for the density of states at the Fermi level is 26.3 states/eV per cell. The space group is No. 36.

[3]
Below is a geometry-optimized TbSmYIn structure, with properties calculated at the PBE-GGA level.

Lattice parameters (Å, degrees): 4.931 4.858 4.876 90.00 90.00 90.00
Each line ends with the local moment (μB).
Positions (direct):
Sm 0.500 0.500 0.000  0.12
Tb 0.500 0.000 0.500  0.17
In 0.000 0.500 0.500  -0.01
Y 0.000 0.000 0.000  0.14

Properties
The calculation puts the energy relative to the lowest polymorph listed for this composition at 0 meV per atom. The value obtained for the density of states at the Fermi level is 5.7 states/eV per cell. The space group is No. 47.

[4]
Below is a geometry-optimized TbSmYIn structure, with properties calculated at the PBE-GGA level.

Lattice parameters (Å, degrees): 5.492 5.492 5.492 60.00 60.00 60.00
Each line ends with the local moment (μB).
Positions (direct):
In 0.750 0.750 0.750  0.01
Tb 0.000 0.000 0.000  0.30
Y 0.500 0.500 0.500  0.24
Sm 0.250 0.250 0.250  0.36

Properties
The calculation puts the energy relative to the lowest polymorph listed for this composition at 153 meV per atom. The value obtained for the density of states at the Fermi level is 5.6 states/eV per cell. The space group is No. 216.

[5]
Below is a geometry-optimized Tb2Sm3Y6In structure, with properties calculated at the PBE-GGA level.

Lattice parameters (Å, degrees): 6.152 6.152 11.720 95.04 95.04 120.05
Positions (direct):
Tb 0.666 0.334 0.000
Tb 0.334 0.666 0.000
Sm 0.167 0.833 0.500
Sm 0.500 0.500 0.500
Sm 0.833 0.167 0.500
Y 0.592 0.919 0.756
Y 0.246 0.246 0.755
Y 0.754 0.754 0.245
Y 0.081 0.408 0.244
Y 0.919 0.592 0.756
Y 0.408 0.081 0.244
In 0.000 0.000 0.000

Properties
The value obtained for the density of states at the Fermi level is 17.4 states/eV per cell. The space group is No. 12.

[6]
Below is a geometry-optimized TbSmZnIn structure, with properties calculated at the PBE-GGA level.

Lattice parameters (Å, degrees): 5.270 5.270 5.270 60.00 60.00 60.00
Positions (direct):
In 0.500 0.500 0.500
Tb 0.750 0.750 0.750
Sm 0.250 0.250 0.250
Zn 0.000 0.000 0.000

Properties
The calculation puts the energy relative to the lowest polymorph listed for this composition at 20 meV per atom. The value obtained for the density of states at the Fermi level is 4.0 states/eV per cell. The space group is No. 216.

[7]
Below is a geometry-optimized TbSm2Zn2In2 structure, with properties calculated at the PBE-GGA level.

Lattice parameters (Å, degrees): 4.724 4.724 9.657 75.84 75.84 60.00
Positions (direct):
Zn 0.395 0.395 0.816
Zn 0.605 0.605 0.184
In 0.266 0.266 0.203
In 0.734 0.734 0.797
Sm 0.127 0.127 0.619
Sm 0.873 0.873 0.381
Tb 0.000 0.000 0.000

Properties
The value obtained for the density of states at the Fermi level is 3.3 states/eV per cell. The space group is No. 166.

[8]
Below is a geometry-optimized TbSmZn2In2 structure, with properties calculated at the PBE-GGA level.

Lattice parameters (Å, degrees): 4.698 4.698 7.374 90.00 90.00 120.00
Positions (direct):
Zn 0.333 0.667 0.266
Zn 0.667 0.333 0.734
In 0.667 0.333 0.257
In 0.333 0.667 0.743
Sm 0.000 0.000 0.000
Tb 0.000 0.000 0.500

Properties
The value obtained for the density of states at the Fermi level is 3.3 states/eV per cell. The space group is No. 164.

[9]
Below is a geometry-optimized TbSmZnIn structure, with properties calculated at the PBE-GGA level.

Lattice parameters (Å, degrees): 3.682 3.682 7.539 90.00 90.00 90.00
Positions (direct):
Sm 0.500 0.500 0.126
Zn 0.000 0.000 0.365
In 0.000 0.000 0.851
Tb 0.500 0.500 0.586

Properties
The calculation puts the energy relative to the lowest polymorph listed for this composition at 0 meV per atom. The value obtained for the density of states at the Fermi level is 3.4 states/eV per cell. The space group is No. 99.

[10]
Below is a geometry-optimized Sm3InTc structure, with properties calculated at the PBE-GGA level.

Lattice parameters (Å, degrees): 3.429 8.087 9.765 90.00 90.00 90.00
Positions (direct):
Tc 0.591 0.612 0.138
Tc 0.591 0.612 0.638
Sm 0.090 0.319 0.681
Sm 0.091 0.668 0.888
Sm 0.090 0.906 0.181
Sm 0.091 0.319 0.095
Sm 0.091 0.906 0.595
Sm 0.091 0.557 0.388
In 0.591 0.039 0.888
In 0.591 0.186 0.388

Properties
The value obtained for the density of states at the Fermi level is 9.1 states/eV per cell. The space group is No. 51.

[11]
Below is a geometry-optimized Sm6In2Tc structure, with properties calculated at the PBE-GGA level.

Lattice parameters (Å, degrees): 3.954 8.796 8.756 120.15 90.00 90.00
Positions (direct):
Sm 0.500 0.606 0.000
Sm 0.000 0.245 0.000
Sm 0.500 0.387 0.389
Sm 0.000 0.759 0.764
Sm 0.500 0.998 0.611
Sm 0.000 0.996 0.236
In 0.000 0.330 0.663
In 0.000 0.667 0.337
Tc 0.500 0.012 0.000

Properties
The value obtained for the density of states at the Fermi level is 10.1 states/eV per cell. The space group is No. 38.

[12]
Below is a geometry-optimized Sm6InTc structure, with properties calculated at the PBE-GGA level.

Lattice parameters (Å, degrees): 6.508 8.056 6.554 52.08 80.66 74.69
Positions (direct):
Sm 0.213 0.813 0.630
Sm 0.787 0.187 0.370
Sm 0.638 0.787 0.000
Sm 0.362 0.213 0.000
Sm 0.787 0.557 0.630
Sm 0.213 0.443 0.370
Tc 0.500 0.500 0.000
In 0.000 0.000 0.000

Properties
The value obtained for the density of states at the Fermi level is 9.5 states/eV per cell. The space group is No. 12.

Energy of formation across the listed records, respectively: -40; -7; -272; -119; -45; -395; -293; -447; -416; -105; -231; 64 meV/atom.
M_tot across the listed records, respectively: 0.000; 0.000; 0.669; 1.498; 0.031; 0.000; 0.000; 0.000; 0.000; 0.000; 0.000; 0.000 μB per formula unit.